Record 1
# Ta2Au (PBE, relaxed)
# Formation energy from the elements = 184 meV per atom
# Total magnetic moment = 0.000 μB per formula unit
# Final energy = -8.810 eV/atom
# V = 166.56 Å³/cell
# Density of states at the Fermi level = 0.81 states/eV/atom
data_Ta2Au
_space_group_name_H-M_alt 'P 1'
_space_group_IT_number 1
_cell_length_a 7.467
_cell_length_b 7.467
_cell_length_c 3.449
_cell_angle_alpha 90.00
_cell_angle_beta 90.00
_cell_angle_gamma 120.00
loop_
_space_group_symop_operation_xyz
'x,y,z'
loop_
_atom_site_label
_atom_site_type_symbol
_atom_site_fract_x
_atom_site_fract_y
_atom_site_fract_z
Ta1 Ta 0.000 0.274 0.000
Ta2 Ta 0.000 0.606 0.500
Ta3 Ta 0.274 0.000 0.000
Ta4 Ta 0.726 0.726 0.000
Ta5 Ta 0.606 0.000 0.500
Ta6 Ta 0.394 0.394 0.500
Au1 Au 0.000 0.000 0.500
Au2 Au 0.333 0.667 0.000
Au3 Au 0.667 0.333 0.000

---

Record 2
# Ta2Au (PBE, relaxed)
# Formation energy from the elements = 63 meV per atom
# Total magnetic moment = 0.000 μB per formula unit
# Final energy = -8.931 eV/atom
# V = 108.21 Å³/cell
# Density of states at the Fermi level = 0.61 states/eV/atom
data_Ta2Au
_space_group_name_H-M_alt 'P 1'
_space_group_IT_number 1
_cell_length_a 5.663
_cell_length_b 5.663
_cell_length_c 7.155
_cell_angle_alpha 73.67
_cell_angle_beta 73.67
_cell_angle_gamma 29.53
loop_
_space_group_symop_operation_xyz
'x,y,z'
loop_
_atom_site_label
_atom_site_type_symbol
_atom_site_fract_x
_atom_site_fract_y
_atom_site_fract_z
Ta1 Ta 0.609 0.609 0.269
Ta2 Ta 0.940 0.940 0.614
Ta3 Ta 0.664 0.664 0.667
Ta4 Ta 0.287 0.287 0.946
Au1 Au 0.005 0.005 0.000
Au2 Au 0.329 0.329 0.336